(1)
First-principles (PBE-GGA) data for an optimized crystal structure of NdInCl2, as listed in the Alexandria database.

Lattice parameters (Å, degrees): 10.150 10.150 10.150 22.40 22.40 22.40
Element x y z (fractional)
1 Nd 0.000 0.000 0.000
2 In 0.500 0.500 0.500
3 Cl 0.091 0.091 0.091
4 Cl 0.909 0.909 0.909

Properties
For the uncorrected formation energy, the calculation gives -0.96 eV per atom. The calculation puts the volume at 133 Å³ per cell.

=====

(2)
First-principles (PBE-GGA) data for an optimized crystal structure of NdIn5Cl8, as listed in the Alexandria database.

Lattice parameters (Å, degrees): 8.210 8.210 8.210 111.29 111.29 105.90
Element x y z (fractional)
1 Nd 0.000 0.000 0.000
2 In 0.144 0.275 0.674
3 In 0.250 0.750 0.500
4 In 0.531 0.856 0.131
5 In 0.600 0.469 0.326
6 In 0.725 0.400 0.869
7 Cl 0.182 0.415 0.113
8 Cl 0.302 0.068 0.887
9 Cl 0.371 0.155 0.357
10 Cl 0.585 0.698 0.767
11 Cl 0.797 0.014 0.643
12 Cl 0.845 0.203 0.216
13 Cl 0.932 0.818 0.233
14 Cl 0.986 0.629 0.784

Properties
For the uncorrected formation energy, the calculation gives -1.23 eV per atom. The calculation puts the volume at 425 Å³ per cell.